Sm2TmAu4 | Alexandria | GGA-PBE | optimized geometry; energy above the lowest structure with this stoichiometry = 0 meV per atom; total DFT energy (no corrections) = -4.550 eV/atom; space group = No. 139; V = 25.23 Å³/atom; ΔE_f = -0.6897 eV/atom
1.0
-4.7839 1.8118 -0.9930
1.1651 0.2972 -5.0704
-0.3204 -7.1419 2.1855
Au Tm Sm
4 1 2
direct
0.8850 0.3850 0.7700
0.3850 0.8850 0.7700
0.6150 0.1150 0.2300
0.1150 0.6150 0.2300
0.0000 0.0000 0.0000
0.7231 0.7231 0.4462
0.2769 0.2769 0.5538